Record 1
Computed, not measured: a relaxed structure of CaZn2Ni2 at the PBE-GGA level of DFT.

The space group is P4/mbm (No. 127) and the conventional cell measures 7.3406, 7.3406 and 2.7965 Å, with angles of 90.00, 90.00 and 90.00 degrees. Symmetry generates all atoms from Ca at (0.0000, 0.0000, 0.0000), Zn at (0.1377, 0.3623, 0.5000) and Ni at (0.1547, 0.6547, 0.0000).

The calculation puts the calculated total energy at -33.8 eV per cell. The density of states at the Fermi level comes out at 1.775 states/eV/f.u.

Record 2
Computed, not measured: a relaxed structure of Ca2Zn2Ni at the PBE-GGA level of DFT.

The space group is C2/m (No. 12) and the conventional cell measures 10.8600, 4.0640 and 10.9371 Å, with angles of 90.00, 113.49 and 90.00 degrees. Symmetry generates all atoms from Ca at (0.0058, 0.0000, 0.1637), Ca at (0.1973, 0.0000, 0.6225), Zn at (0.0113, 0.5000, 0.3841), Zn at (0.1875, 0.5000, 0.0544) and Ni at (0.1971, 0.5000, 0.8254).

The calculation puts the calculated total energy at -54.4 eV per cell. The density of states at the Fermi level comes out at 3.152 states/eV/f.u.

Record 3
Computed, not measured: a relaxed structure of CaZn2Ni4 at the PBE-GGA level of DFT.

The space group is Immm (No. 71) and the conventional cell measures 4.9778, 6.2504 and 6.2999 Å, with angles of 90.00, 90.00 and 90.00 degrees. Symmetry generates all atoms from Ca at (0.0000, 0.0000, 0.0000), Zn at (0.2495, 0.5000, 0.0000) and Ni at (0.0000, 0.3083, 0.3089).

The calculation puts the calculated total energy at -57.0 eV per cell. The density of states at the Fermi level comes out at 6.279 states/eV/f.u.

Record 4
Computed, not measured: a relaxed structure of Ca2Zn2Ni15 at the PBE-GGA level of DFT.

The space group is R-3m (No. 166, hexagonal axes) and the conventional cell measures 8.3771, 8.3771 and 12.1700 Å, with angles of 90.00, 90.00 and 120.00 degrees. Symmetry generates all atoms from Ca at (0.0000, 0.0000, 0.1524), Zn at (0.0000, 0.0000, 0.3984), Ni at (0.0000, 0.2949, 0.5000), Ni at (0.0000, 0.5000, 0.0000) and Ni at (0.0029, 0.5015, 0.3455).

The calculation puts the calculated total energy at -286.4 eV per cell. The density of states at the Fermi level comes out at 24.764 states/eV/f.u.

Record 5
Computed, not measured: a relaxed structure of Ca3ZnNi8 at the PBE-GGA level of DFT.

The space group is R3m (No. 160, hexagonal axes) and the conventional cell measures 4.9917, 4.9917 and 24.4390 Å, with angles of 90.00, 90.00 and 120.00 degrees. Symmetry generates all atoms from Ca at (0.0000, 0.0000, 0.0000), Ca at (0.0000, 0.0000, 0.1276), Ca at (0.0000, 0.0000, 0.5081), Zn at (0.0000, 0.0000, 0.6301), Ni at (0.0000, 0.0000, 0.3151), Ni at (0.0000, 0.0000, 0.8158), Ni at (0.0015, 0.5007, 0.5681) and Ni at (0.1694, 0.3388, 0.3964).

The calculation puts the calculated total energy at -166.6 eV per cell. The density of states at the Fermi level comes out at 14.165 states/eV/f.u.

Record 6
Computed, not measured: a relaxed structure of CaZn3Ni3 at the PBE-GGA level of DFT.

The space group is Pm-3n (No. 223) and the conventional cell measures 6.4883, 6.4883 and 6.4883 Å, with angles of 90.00, 90.00 and 90.00 degrees. Symmetry generates all atoms from Ca at (0.0000, 0.0000, 0.0000), Zn at (0.0000, 0.2500, 0.5000) and Ni at (0.0000, 0.5000, 0.2500).

The calculation puts the calculated total energy at -43.1 eV per cell. The density of states at the Fermi level comes out at 3.521 states/eV/f.u.

> Which formula does entry 2 have?

Ca2Zn2Ni